# NaSrLa2Pd (PBE-GGA, optimized geometry)
data_NaSrLa2Pd
_chemical_formula_sum 'Na1 Sr1 La2 Pd1'
_cell_length_a 5.688
_cell_length_b 5.688
_cell_length_c 5.979
_cell_angle_alpha 90.00
_cell_angle_beta 90.00
_cell_angle_gamma 90.00
_symmetry_space_group_name_H-M 'P 4/m m m'
_symmetry_Int_Tables_number 123
_symmetry_space_group_name_Hall '-P 4 2'
loop_
_atom_site_label
_atom_site_type_symbol
_atom_site_fract_x
_atom_site_fract_y
_atom_site_fract_z
Na1 Na 0.000 0.000 0.000
Sr1 Sr 0.500 0.500 0.000
La1 La 0.000 0.500 0.500
Pd1 Pd 0.000 0.000 0.500
# Offset from the most stable computed form ... 58 meV/atom
# Formation enthalpy at 0 K ... -106 meV per atom
# Crystal system ... tetragonal

***

# Ba4CaS5 (PBE-GGA, optimized geometry)
data_Ba4CaS5
_chemical_formula_sum 'Ba12 Ca3 S15'
_cell_length_a 4.4619
_cell_length_b 4.4619
_cell_length_c 54.7517
_cell_angle_alpha 90.00
_cell_angle_beta 90.00
_cell_angle_gamma 120.00
_symmetry_space_group_name_H-M 'R -3 m'
_symmetry_Int_Tables_number 166
_symmetry_space_group_name_Hall '-R 3 2"'
loop_
_atom_site_label
_atom_site_type_symbol
_atom_site_fract_x
_atom_site_fract_y
_atom_site_fract_z
Ba1 Ba 0.0000 0.0000 0.1041
Ba2 Ba 0.0000 0.0000 0.2987
Ca1 Ca 0.0000 0.0000 0.5000
S1 S 0.0000 0.0000 0.0000
S2 S 0.0000 0.0000 0.1945
S3 S 0.0000 0.0000 0.4028
# Energy relative to the elements, uncorrected ... -2.06 eV/atom
# Crystal system ... trigonal

***

# RbLi2Sn2 (PBE-GGA, optimized geometry)
data_RbLi2Sn2
_chemical_formula_sum 'Rb2 Li4 Sn4'
_cell_length_a 4.779
_cell_length_b 4.779
_cell_length_c 13.027
_cell_angle_alpha 90.00
_cell_angle_beta 90.00
_cell_angle_gamma 90.00
_symmetry_space_group_name_H-M 'I 4/m m m'
_symmetry_Int_Tables_number 139
_symmetry_space_group_name_Hall '-I 4 2'
loop_
_atom_site_label
_atom_site_type_symbol
_atom_site_fract_x
_atom_site_fract_y
_atom_site_fract_z
Rb1 Rb 0.000 0.000 0.000
Li1 Li 0.000 0.000 0.365
Sn1 Sn 0.000 0.500 0.250
# Offset from the most stable computed form ... 78 meV/atom
# Formation enthalpy at 0 K ... -135 meV per atom
# Crystal system ... tetragonal

***

# InB2Ir4 (PBE-GGA, optimized geometry)
data_InB2Ir4
_chemical_formula_sum 'In4 B8 Ir16'
_cell_length_a 7.694
_cell_length_b 7.705
_cell_length_c 7.691
_cell_angle_alpha 90.00
_cell_angle_beta 119.56
_cell_angle_gamma 90.00
_symmetry_space_group_name_H-M 'C 1 2 1'
_symmetry_Int_Tables_number 5
loop_
_symmetry_equiv_pos_as_xyz
'x,y,z'
'-x,y,-z'
'x+1/2,y+1/2,z'
'-x+1/2,y+1/2,-z'
loop_
_atom_site_label
_atom_site_type_symbol
_atom_site_fract_x
_atom_site_fract_y
_atom_site_fract_z
In1 In 0.000 0.000 0.000
In2 In 0.000 0.245 0.500
B1 B 0.071 0.595 0.330
B2 B 0.239 0.902 0.675
Ir1 Ir 0.054 0.874 0.355
Ir2 Ir 0.056 0.372 0.857
Ir3 Ir 0.197 0.625 0.648
Ir4 Ir 0.198 0.627 0.139
# Formation enthalpy at 0 K ... 24 meV per atom
# Crystal system ... monoclinic

***

# ErSc2ZnPt4 (PBE-GGA, optimized geometry)
data_ErSc2ZnPt4
_chemical_formula_sum 'Er3 Sc6 Zn3 Pt12'
_cell_length_a 4.6171
_cell_length_b 4.6171
_cell_length_c 23.4035
_cell_angle_alpha 90.00
_cell_angle_beta 90.00
_cell_angle_gamma 120.00
_symmetry_space_group_name_H-M 'R -3 m'
_symmetry_Int_Tables_number 166
_symmetry_space_group_name_Hall '-R 3 2"'
loop_
_atom_site_label
_atom_site_type_symbol
_atom_site_fract_x
_atom_site_fract_y
_atom_site_fract_z
Er1 Er 0.0000 0.0000 0.0000
Sc1 Sc 0.0000 0.0000 0.2424
Zn1 Zn 0.0000 0.0000 0.5000
Pt1 Pt 0.0000 0.0000 0.1244
Pt2 Pt 0.0000 0.0000 0.3855
# Formation enthalpy at 0 K ... -1067 meV per atom
# Crystal system ... trigonal

***

# NaGeH3 (PBE-GGA, optimized geometry)
data_NaGeH3
_chemical_formula_sum 'Na4 Ge4 H12'
_cell_length_a 7.468
_cell_length_b 7.532
_cell_length_c 5.051
_cell_angle_alpha 90.00
_cell_angle_beta 90.00
_cell_angle_gamma 90.00
_symmetry_space_group_name_H-M 'A m a 2'
_symmetry_Int_Tables_number 40
loop_
_symmetry_equiv_pos_as_xyz
'x,y,z'
'-x,-y,z'
'-x+1/2,y,z'
'x+1/2,-y,z'
'x,y+1/2,z+1/2'
'-x,-y+1/2,z+1/2'
'-x+1/2,y+1/2,z+1/2'
'x+1/2,-y+1/2,z+1/2'
loop_
_atom_site_label
_atom_site_type_symbol
_atom_site_fract_x
_atom_site_fract_y
_atom_site_fract_z
Na1 Na 0.000 0.000 0.000
Ge1 Ge 0.250 0.090 0.482
H1 H 0.095 0.201 0.629
H2 H 0.250 0.439 0.209
# Offset from the most stable computed form ... 0 meV/atom
# Crystal system ... orthorhombic

***

Magnetic moment readings, ordered: 0.00, 0.00, 0.00, 0.00, 0.00, 0.00 μB/f.u.
Fermi-level density of states readings, ordered: 5.28, 0.00, 4.83, 16.53, 15.02, 0.00 states/eV/cell